This record from the Alexandria database describes ZnIrPd3 after structural relaxation. The functional is PBE.

```
ZnIrPd3
1.0
-3.892 0.765 2.788
-2.890 -1.133 -3.724
0.064 -4.652 1.365
Zn Ir Pd
1 1 3
Direct
0.500 0.500 0.500
0.000 0.000 0.000
0.000 0.500 0.000
0.000 0.000 0.500
0.500 0.000 0.000
```

Summary:
**Density**: 8.40 g/cm³
**Fermi-level density of states**: 7.892 states/eV/cell
**ΔH_f (0 K)**: 1.10 eV/atom
**Calculated volume**: 113.97 Å³ per cell
**ΔE to the lowest computed polymorph**: 42 kJ/mol of formula units